## NdTh3Ge4 (PBE-GGA)

Data for a relaxed NdTh3Ge4 crystal.

## Properties
Crystal system: monoclinic
DFT formation energy, meV/atom: -753

Unit cell a=7.4578 b=8.5652 c=7.4589 alpha=90.00 beta=109.32 gamma=90.00
Closest atoms and distances in Å follow each position.
Space group P2/c (No. 13)
Asymmetric unit:
Nd 0.0000 0.1251 0.2500 [2 per cell]  6 Ge 3.05
Th 0.0000 0.3744 0.7500 [2 per cell]  6 Ge 3.04
Th 0.5000 0.1248 0.7500 [2 per cell]  6 Ge 3.03-3.04
Th 0.5000 0.3745 0.2500 [2 per cell]  6 Ge 3.03-3.05
Ge 0.2502 0.3763 0.5008 [4 per cell]  5 Th 3.03-3.05, 1 Nd 3.05
Ge 0.2516 0.1255 0.9995 [4 per cell]  4 Th 3.03-3.04, 2 Nd 3.05

---

## KMo2 (PBE-GGA)

Data for a relaxed KMo2 crystal.

## Properties
Crystal system: tetragonal
DFT formation energy, meV/atom: 975
Polymorph energy (0 for the lowest one), meV/atom: 336

Unit cell a=3.2352 b=3.2352 c=14.2642 alpha=90.00 beta=90.00 gamma=90.00
Closest atoms and distances in Å follow each position.
Space group I4/mmm (No. 139)
Asymmetric unit:
K 0.0000 0.0000 0.0000 [2 per cell]  4 K 3.24
Mo 0.0000 0.0000 0.2898 [4 per cell]  4 Mo 2.55

---

## MgMnGaSiS (PBE-GGA)

Data for a relaxed MgMnGaSiS crystal.

## Properties
Crystal system: triclinic
Polymorph energy (0 for the lowest one), meV/atom: 7
Uncorrected formation energy, kJ per mole of atoms: -30.2

Unit cell a=3.3198 b=3.5205 c=8.2833 alpha=77.78 beta=89.74 gamma=90.00
Closest atoms and distances in Å follow each position.
Space group P1 (No. 1)
Asymmetric unit:
Mg 0.0000 0.0000 0.0000 [1 per cell]  4 S 2.49-2.50, 1 Ga 2.75
Mn 0.4951 0.3204 0.3636 [1 per cell]  1 S 2.33, 4 Si 2.48
Ga 0.9614 0.1721 0.6606 [1 per cell]  2 Si 2.56-2.57, 1 Mg 2.75, 1 Mn 2.87
Si 0.9925 0.7871 0.4304 [1 per cell]  4 Mn 2.48, 2 Ga 2.56-2.57
S 0.4983 0.4624 0.0763 [1 per cell]  1 Mn 2.33, 4 Mg 2.49-2.50

---

## Li2Pr3Pb4 (PBE-GGA)

Data for a relaxed Li2Pr3Pb4 crystal.

## Properties
Crystal system: monoclinic
DFT formation energy, meV/atom: -503

Unit cell a=11.9312 b=4.7701 c=9.1946 alpha=90.00 beta=107.66 gamma=90.00
Closest atoms and distances in Å follow each position.
Space group C2/m (No. 12)
Asymmetric unit:
Li 0.1894 0.0000 0.3713 [4 per cell]  4 Pb 2.74-2.97
Pr 0.0000 0.5000 0.0000 [2 per cell]  6 Pb 3.31-3.39
Pr 0.1299 0.0000 0.6903 [4 per cell]  3 Li 3.22-3.38, 7 Pb 3.37-3.58
Pb 0.0791 0.5000 0.3870 [4 per cell]  3 Li 2.75-2.97
Pb 0.2025 0.0000 0.0784 [4 per cell]  1 Li 2.74

---

## BaPPd4 (PBE-GGA)

Data for a relaxed BaPPd4 crystal.

## Properties
Crystal system: tetragonal
DFT formation energy, meV/atom: -315

Unit cell a=4.5216 b=4.5216 c=7.0556 alpha=90.00 beta=90.00 gamma=90.00
Closest atoms and distances in Å follow each position.
Space group P4/mmm (No. 123)
Asymmetric unit:
Ba 0.0000 0.0000 0.0000 [1 per cell]  8 Pd 3.45
P 0.5000 0.5000 0.5000 [1 per cell]  6 Pd 2.22-2.26
Pd 0.0000 0.5000 0.5000 [2 per cell]  2 P 2.26
Pd 0.5000 0.5000 0.1853 [2 per cell]  1 P 2.22

---

## YHgIr2 (PBE-GGA)

Data for a relaxed YHgIr2 crystal.

## Properties
Crystal system: tetragonal
DFT formation energy, meV/atom: -258

Unit cell a=4.2792 b=4.2792 c=4.0020 alpha=90.00 beta=90.00 gamma=90.00
Closest atoms and distances in Å follow each position.
Space group P4/mmm (No. 123)
Asymmetric unit:
Y 0.0000 0.0000 0.0000 [1 per cell]  8 Ir 2.93, 4 Hg 3.03
Hg 0.5000 0.5000 0.0000 [1 per cell]  8 Ir 2.93, 4 Y 3.03
Ir 0.0000 0.5000 0.5000 [2 per cell]  4 Hg 2.93, 4 Y 2.93, 4 Ir 3.03

---

## Dy2Zn2Ga (PBE-GGA)

Data for a relaxed Dy2Zn2Ga crystal.

## Properties
Crystal system: monoclinic
DFT formation energy, meV/atom: -445

Unit cell a=10.5166 b=4.3816 c=10.5286 alpha=90.00 beta=117.33 gamma=90.00
Closest atoms and distances in Å follow each position.
Space group C2/m (No. 12)
Asymmetric unit:
Dy 0.0202 0.0000 0.3363 [4 per cell]  7 Zn 3.03-3.24, 4 Ga 3.08-3.23
Dy 0.1913 0.0000 0.1027 [4 per cell]  6 Zn 3.00-3.17, 2 Ga 3.20
Zn 0.0182 0.5000 0.8849 [4 per cell]  1 Ga 2.57, 1 Zn 2.62
Zn 0.1395 0.5000 0.5592 [4 per cell]  3 Ga 2.56-2.86, 1 Zn 2.61
Ga 0.2268 0.5000 0.3388 [4 per cell]  4 Zn 2.56-2.86

---

## Sm2DyEr (PBE-GGA)

Data for a relaxed Sm2DyEr crystal.

## Properties
Crystal system: orthorhombic
DFT formation energy, meV/atom: 118
Polymorph energy (0 for the lowest one), meV/atom: 103

Unit cell a=3.7153 b=5.8861 c=11.9247 alpha=90.00 beta=90.00 gamma=90.00
Closest atoms and distances in Å follow each position.
Space group Imm2 (No. 44)
Asymmetric unit:
Sm 0.0000 0.0000 0.0000 [2 per cell]  2 Er 3.46, 4 Dy 3.49, 4 Sm 3.65-3.72
Sm 0.0000 0.5000 0.2366 [2 per cell]  4 Er 3.48, 2 Dy 3.54, 4 Sm 3.65-3.72
Dy 0.0000 0.0000 0.4835 [2 per cell]  2 Er 3.40, 6 Sm 3.49-3.54, 2 Dy 3.72
Er 0.0000 0.5000 0.7449 [2 per cell]  2 Dy 3.40, 6 Sm 3.46-3.48, 2 Er 3.72

---

Raw total energy, respectively: -6.440; -6.612; -4.981; -4.170; -4.999; -6.380; -3.401; -4.533 eV per atom.
Fermi-level density of states, respectively: 4.81; 2.84; 1.35; 3.22; 2.87; 3.80; 3.87; 8.13 states/eV/f.u..